Entry 1:
This record from the Alexandria database describes a crystal of CsTeSCl2 relaxed with PBEsol. The functional is meta-GGA SCAN.

Unit cell a=5.4526 b=5.4526 c=5.1117 alpha=90.00 beta=90.00 gamma=90.00
Last column: nearest neighbours and their distance in Å.
Space group P4/mmm (No. 123)
Symmetry-distinct sites (fractional):
Cs1 0.0000 0.0000 0.0000  8 Cl 3.74, 4 S 3.86
Te1 0.5000 0.5000 0.5000  2 S 2.56, 4 Cl 2.73
S1 0.5000 0.5000 0.0000  2 Te 2.56
Cl1 0.0000 0.5000 0.5000  2 Te 2.73

Results
The uncorrected formation energy comes out at -0.94 eV/atom.



Entry 2:
This record from the Alexandria database describes a crystal of Ca2ZnRuC relaxed with PBEsol. The functional is meta-GGA SCAN.

Unit cell a=5.0086 b=5.0086 c=3.8469 alpha=90.00 beta=90.00 gamma=90.00
Last column: nearest neighbours and their distance in Å.
Space group P4/mmm (No. 123)
Symmetry-distinct sites (fractional):
Ca1 0.0000 0.5000 0.0000  2 C 2.50
Zn1 0.0000 0.0000 0.5000  8 Ca 3.16
Ru1 0.5000 0.5000 0.5000  2 C 1.92
C1 0.5000 0.5000 0.0000  2 Ru 1.92

Results
The calculation puts the energy of formation from the pure elements at -0.0741 eV per atom.



Entry 3:
This record from the Alexandria database describes a crystal of ZrW4 relaxed with PBEsol. The functional is meta-GGA SCAN.

Unit cell a=4.1665 b=4.1665 c=11.0130 alpha=90.00 beta=90.00 gamma=90.00
Last column: nearest neighbours and their distance in Å.
Space group I4/mmm (No. 139)
Symmetry-distinct sites (fractional):
Zr1 0.0000 0.0000 0.0000  16 W 3.21-3.45
W1 0.0000 0.0000 0.3845  5 W 2.54-2.56
W2 0.0000 0.5000 0.2500  4 W 2.56

Results
The calculation puts the energy of formation from the pure elements at 0.6156 eV per atom.



Entry 4:
This record from the Alexandria database describes a crystal of YZr4Br relaxed with PBEsol. The functional is meta-GGA SCAN.

Unit cell a=8.3919 b=8.3919 c=8.3919 alpha=90.00 beta=90.00 gamma=90.00
Last column: nearest neighbours and their distance in Å.
Space group F-43m (No. 216)
Symmetry-distinct sites (fractional):
Y1 0.0000 0.0000 0.0000  12 Zr 3.47, 4 Br 3.63
Zr1 0.1300 0.1300 0.6300  6 Zr 2.85-3.09
Br1 0.2500 0.2500 0.2500  12 Zr 3.49, 4 Y 3.63

Results
The uncorrected formation energy comes out at 0.42 eV/atom.



Entry 5:
This record from the Alexandria database describes a crystal of SrLiRe2I relaxed with PBEsol. The functional is meta-GGA SCAN.

Unit cell a=4.8924 b=4.8924 c=5.8204 alpha=90.00 beta=90.00 gamma=90.00
Last column: nearest neighbours and their distance in Å.
Space group P4/mmm (No. 123)
Symmetry-distinct sites (fractional):
Sr1 0.0000 0.0000 0.0000  2 I 2.91
Li1 0.5000 0.5000 0.0000  4 Sr 3.46, 8 Re 3.80
Re1 0.0000 0.5000 0.5000  2 I 2.45
I1 0.0000 0.0000 0.5000  4 Re 2.45

Results
The uncorrected formation energy comes out at 1.88 eV/atom.



Entry 6:
This record from the Alexandria database describes a crystal of RbNbSb2 relaxed with PBEsol. The functional is meta-GGA SCAN.

Unit cell a=7.5125 b=7.5125 c=12.7679 alpha=90.00 beta=90.00 gamma=90.00
Last column: nearest neighbours and their distance in Å.
Space group I-42d (No. 122)
Symmetry-distinct sites (fractional):
Rb1 0.0000 0.0000 0.0000  4 Sb 3.80
Nb1 0.0000 0.0000 0.5000  4 Sb 2.61
Sb1 0.1148 0.2500 0.6250  2 Nb 2.61

Results
The uncorrected formation energy comes out at 0.09 eV/atom.



Entry 7:
This record from the Alexandria database describes a crystal of Ir4AuCl relaxed with PBEsol. The functional is meta-GGA SCAN.

Unit cell a=7.3495 b=7.3495 c=7.3495 alpha=90.00 beta=90.00 gamma=90.00
Last column: nearest neighbours and their distance in Å.
Space group F-43m (No. 216)
Symmetry-distinct sites (fractional):
Ir1 0.1248 0.1248 0.1248  6 Ir 2.59-2.60
Au1 0.2500 0.2500 0.7500  12 Ir 3.05, 4 Cl 3.18
Cl1 0.0000 0.0000 0.5000  12 Ir 3.05, 4 Au 3.18

Results
The uncorrected formation energy comes out at 1.14 eV/atom.



Entry 8:
This record from the Alexandria database describes a crystal of LiMnAu relaxed with PBEsol. The functional is meta-GGA SCAN.

Unit cell a=4.3090 b=4.3090 c=2.7091 alpha=90.00 beta=90.00 gamma=120.00
Last column: nearest neighbours and their distance in Å.
Space group P3m1 (No. 156)
Symmetry-distinct sites (fractional):
Li1 0.0000 0.0000 0.0000  3 Mn 2.60, 3 Au 2.62, 2 Li 2.71
Mn1 0.6667 0.3333 0.2815  3 Li 2.60, 2 Mn 2.71, 3 Au 2.74
Au1 0.3333 0.6667 0.7018  3 Li 2.62, 2 Au 2.71, 3 Mn 2.74

Results
The calculation puts the energy of formation from the pure elements at -0.3865 eV per atom.